Record 1
First-principles (GGA-PBE) data for a geometry-optimized Tl3InCl structure, as listed in the Alexandria database.

Properties
Its uncorrected formation energy is -9 meV per atom. The calculation puts the total energy at -2.345 eV per atom. For the total magnetic moment, the calculation gives 0.00 μB/cell. For the polymorph energy (0 for the lowest one), the calculation gives 0 meV/atom. As for the space group: Pm-3m.

Lattice parameters (Å, degrees): 5.8338 5.8338 5.8338 90.00 90.00 90.00
With the nearest neighbours (Å) after each atom.
Positions (direct):
Tl: 0.0000 0.5000 0.0000  2 Cl 2.92
Tl: 0.0000 0.0000 0.5000  2 Cl 2.92
Tl: 0.5000 0.0000 0.0000  2 Cl 2.92
Cl: 0.0000 0.0000 0.0000  6 Tl 2.92
In: 0.5000 0.5000 0.5000  12 Tl 4.13


Record 2
First-principles (GGA-PBE) data for a geometry-optimized Tl2InCl structure, as listed in the Alexandria database.

Properties
Its uncorrected formation energy is -200 meV per atom. The calculation puts the total energy at -2.529 eV per atom. For the total magnetic moment, the calculation gives 0.00 μB/cell. For the polymorph energy (0 for the lowest one), the calculation gives 154 meV/atom. As for the space group: F-43m.

Lattice parameters (Å, degrees): 5.4859 5.4859 5.4859 60.00 60.00 60.00
With the nearest neighbours (Å) after each atom.
Positions (direct):
Tl: 0.0000 0.0000 0.0000  4 Tl 3.36, 4 In 3.36
Tl: 0.2500 0.2500 0.2500  4 Tl 3.36, 4 Cl 3.36
Cl: 0.5000 0.5000 0.5000  4 Tl 3.36, 4 In 3.36
In: 0.7500 0.7500 0.7500  4 Cl 3.36, 4 Tl 3.36


Record 3
First-principles (GGA-PBE) data for a geometry-optimized Tl2InCl structure, as listed in the Alexandria database.

Properties
Its uncorrected formation energy is -316 meV per atom. The calculation puts the total energy at -2.645 eV per atom. For the total magnetic moment, the calculation gives 0.00 μB/cell. For the polymorph energy (0 for the lowest one), the calculation gives 38 meV/atom. As for the space group: Pmmm.

Lattice parameters (Å, degrees): 3.7600 5.9119 5.2864 90.00 90.00 90.00
With the nearest neighbours (Å) after each atom.
Positions (direct):
Tl: 0.0000 0.0000 0.0000  4 Cl 3.24, 4 Tl 3.50
Tl: 0.5000 0.5000 0.0000  4 In 3.24, 4 Tl 3.50
Cl: 0.5000 0.0000 0.5000  4 Tl 3.24, 4 In 3.50
In: 0.0000 0.5000 0.5000  4 Tl 3.24, 4 Cl 3.50


Record 4
First-principles (GGA-PBE) data for a geometry-optimized TlInCl6 structure, as listed in the Alexandria database.

Properties
Its uncorrected formation energy is -838 meV per atom. The calculation puts the total energy at -2.861 eV per atom. For the total magnetic moment, the calculation gives 0.00 μB/cell. For the polymorph energy (0 for the lowest one), the calculation gives 0 meV/atom. As for the space group: C2/m.

Lattice parameters (Å, degrees): 6.8368 6.8368 6.7449 93.67 93.67 118.13
With the nearest neighbours (Å) after each atom.
Positions (direct):
Tl: 0.0000 0.0000 0.5000  6 Cl 2.65-2.66
In: 0.0000 0.0000 0.0000  6 Cl 2.57
Cl: 0.2905 0.9961 0.2585  1 In 2.57, 1 Tl 2.66
Cl: 0.9961 0.2906 0.2585  1 In 2.57, 1 Tl 2.66
Cl: 0.0039 0.7094 0.7415  1 In 2.57, 1 Tl 2.66
Cl: 0.7094 0.0039 0.7415  1 In 2.57, 1 Tl 2.66
Cl: 0.2856 0.2856 0.7958  1 In 2.57, 1 Tl 2.65
Cl: 0.7144 0.7144 0.2042  1 In 2.57, 1 Tl 2.65